Record 1
meta-GGA SCAN BeTl2Rh, PBEsol geometry; energy above the most stable polymorph in this dataset = 0 meV/atom; electronic total energy = -45.5489 eV per atom
1.0
-1.937 -1.374 -1.964
-1.785 -2.214 3.308
-1.761 5.832 0.077
Be Tl Rh
1 2 1
Direct
0.552 0.552 0.103
0.985 0.985 0.971
0.766 0.266 0.533
0.197 0.697 0.393

Record 2
meta-GGA SCAN BeRh2W, PBEsol geometry; electronic total energy = -35.6285 eV per atom
1.0
2.723 0.000 0.000
0.000 3.781 0.000
0.000 0.000 5.121
Be Rh W
1 2 1
Direct
0.500 0.500 0.781
0.000 0.000 0.955
0.500 0.500 0.269
0.000 0.000 0.495

Record 3
meta-GGA SCAN BeRh2W, PBEsol geometry; electronic total energy = -35.9057 eV per atom
1.0
-2.046 -1.748 -0.611
1.827 -2.055 -0.240
-0.716 -1.375 6.329
Be Rh W
1 2 1
Direct
0.500 0.500 0.500
0.000 0.000 0.714
0.000 0.000 0.286
0.500 0.500 0.000

Record 4
meta-GGA SCAN Be2RhW, PBEsol geometry; electronic total energy = -28.0618 eV per atom
1.0
-0.548 1.785 3.623
2.679 -0.627 3.007
2.478 3.012 1.184
Be Rh W
2 1 1
Direct
0.000 0.000 0.000
0.750 0.750 0.750
0.500 0.500 0.500
0.250 0.250 0.250

Record 5
meta-GGA SCAN BeRh2W, PBEsol geometry; electronic total energy = -35.6382 eV per atom
1.0
2.745 0.000 0.000
0.000 2.745 0.000
0.000 0.000 6.627
Be Rh W
1 2 1
Direct
0.500 0.500 0.774
0.000 0.000 0.953
0.500 0.500 0.244
0.000 0.000 0.528

Record 6
meta-GGA SCAN BeRh2W, PBEsol geometry; electronic total energy = -35.7123 eV per atom
1.0
3.804 0.000 0.000
0.000 3.804 0.000
-1.902 -1.902 3.586
Be Rh W
1 2 1
Direct
0.000 0.000 0.000
0.750 0.250 0.500
0.250 0.750 0.500
0.500 0.500 0.000

Record 7
meta-GGA SCAN YBe2Rh, PBEsol geometry; energy above the most stable polymorph in this dataset = 523 meV/atom; electronic total energy = -17.6498 eV per atom
1.0
-3.379 1.068 -2.558
-2.388 -3.136 -1.888
-4.088 -0.748 1.354
Y Be Rh
1 2 1
Direct
0.750 0.750 0.750
0.000 0.000 0.000
0.250 0.250 0.250
0.500 0.500 0.500

Record 8
meta-GGA SCAN YBeRh2, PBEsol geometry; electronic total energy = -25.3353 eV per atom
1.0
-2.523 1.221 -2.493
-2.501 -2.462 1.325
1.133 3.542 3.409
Y Be Rh
1 1 2
Direct
0.500 0.500 0.000
0.250 0.750 0.500
0.000 0.000 0.000
0.750 0.250 0.500

Record 9
meta-GGA SCAN Y2BeRh, PBEsol geometry; electronic total energy = -23.5727 eV per atom
1.0
3.304 0.000 0.000
0.000 4.513 0.000
0.000 0.000 5.569
Y Be Rh
2 1 1
Direct
0.000 0.000 0.917
0.500 0.500 0.329
0.000 0.000 0.422
0.500 0.500 0.832

Record 10
meta-GGA SCAN YBeRh2, PBEsol geometry; electronic total energy = -25.5185 eV per atom
1.0
3.948 0.000 0.000
1.974 3.419 0.000
1.974 1.140 4.723
Y Be Rh
1 1 2
Direct
0.500 0.500 0.500
0.000 0.000 0.000
0.285 0.285 0.144
0.715 0.715 0.856

Record 11
meta-GGA SCAN YBe4Rh, PBEsol geometry; electronic total energy = -13.5714 eV per atom
1.0
4.629 0.000 0.000
2.315 4.009 0.000
2.315 1.336 3.780
Y Be Rh
1 4 1
Direct
0.000 0.000 0.000
0.622 0.622 0.135
0.135 0.622 0.622
0.622 0.135 0.622
0.622 0.622 0.622
0.250 0.250 0.250

Record 12
meta-GGA SCAN Y2BeRh, PBEsol geometry; electronic total energy = -24.0178 eV per atom
1.0
3.875 0.000 0.000
1.938 3.356 0.000
1.938 1.119 6.785
Y Be Rh
2 1 1
Direct
0.033 0.033 0.900
0.216 0.216 0.352
0.457 0.457 0.628
0.793 0.793 0.621

Computed values of ρ (unit: Mg/m³) for the preceding records, in sequence: 11.741, 12.555, 13.335, 10.568, 13.256, 12.761, 5.901, 8.352, 5.793, 7.911, 5.393, 5.452.
Computed values of energy relative to the elements (unit: eV per atom) for the preceding records, in sequence: 0.162, -0.232, -0.510, -0.020, -0.242, -0.316, -0.069, -0.400, -0.120, -0.584, -0.400, -0.565.